Record 1
Entry from Alexandria: crystalline LaNd5S6 at its relaxed geometry (PBE).

Cell lengths 7.0674, 7.0705, 7.0840 Å; angles 60.06, 80.32, 70.31 degrees
Last column: nearest neighbours and their distance in Å.
Atoms (fractional coordinates):
S 0.7480 0.0844 0.3352  5 Nd 2.87-2.89, 1 La 2.91
S 0.2520 0.5805 0.3352  5 Nd 2.87-2.89, 1 La 2.91
S 0.2508 0.2522 0.0000  5 Nd 2.87-2.89, 1 La 2.91
S 0.7492 0.7478 0.0000  5 Nd 2.87-2.89, 1 La 2.91
S 0.7480 0.4195 0.6648  5 Nd 2.87-2.89, 1 La 2.91
S 0.2520 0.9156 0.6648  5 Nd 2.87-2.89, 1 La 2.91
Nd 0.5000 0.1667 0.6665  6 S 2.87-2.89
Nd 0.0000 0.3324 0.3352  6 S 2.88-2.89
Nd 0.5000 0.5000 0.0000  6 S 2.87-2.88
Nd 0.0000 0.6676 0.6648  6 S 2.88-2.89
Nd 0.5000 0.8333 0.3335  6 S 2.87-2.89
La 0.0000 0.0000 0.0000  6 S 2.91

Values from the calculation:
- Formation energy (no corrections): -2054 meV/atom

---

Record 2
Entry from Alexandria: crystalline La2NdScS4 at its relaxed geometry (PBE).

Cell lengths 3.9863, 6.9900, 7.0077 Å; angles 108.97, 90.00, 90.00 degrees
Last column: nearest neighbours and their distance in Å.
Atoms (fractional coordinates):
La 0.5000 0.0000 0.5000  6 S 2.87
La 0.0000 0.5000 0.5000  6 S 2.99
Nd 0.5000 0.5000 0.0000  6 S 2.83-2.84
Sc 0.0000 0.0000 0.0000  6 S 2.70-2.71
S 0.5000 0.2272 0.2242  2 Sc 2.71, 1 Nd 2.84, 3 La 2.87-2.99
S 0.5000 0.7728 0.7758  2 Sc 2.71, 1 Nd 2.84, 3 La 2.87-2.99
S 0.0000 0.2405 0.7659  1 Sc 2.70, 2 Nd 2.83, 3 La 2.87-2.99
S 0.0000 0.7595 0.2341  1 Sc 2.70, 2 Nd 2.83, 3 La 2.87-2.99

Values from the calculation:
- Formation energy (no corrections): -2019 meV/atom

---

Record 3
Entry from Alexandria: crystalline LaNdSeS2 at its relaxed geometry (PBE).

Cell lengths 6.3684, 6.3668, 7.7280 Å; angles 114.33, 90.00, 90.00 degrees
Last column: nearest neighbours and their distance in Å.
Atoms (fractional coordinates):
La 0.2500 0.6158 0.2317  4 S 2.77
La 0.7500 0.3842 0.7683  4 S 2.77
Nd 0.2500 0.8917 0.7834  4 S 2.72
Nd 0.7500 0.1083 0.2166  4 S 2.72
Se 0.7500 0.7501 0.5002  4 La 3.70, 4 Nd 3.76
Se 0.2500 0.2499 0.4998  4 La 3.70, 4 Nd 3.76
S 0.5000 0.2515 0.0000  2 Nd 2.72, 2 La 2.77
S 0.0000 0.7485 0.0000  2 Nd 2.72, 2 La 2.77
S 0.5000 0.7485 0.0000  2 Nd 2.72, 2 La 2.77
S 0.0000 0.2515 0.0000  2 Nd 2.72, 2 La 2.77

Values from the calculation:
- Formation energy (no corrections): -1705 meV/atom

---

Record 4
Entry from Alexandria: crystalline La2Nd2Se2S3 at its relaxed geometry (PBE).

Cell lengths 5.5826, 5.5826, 8.5926 Å; angles 108.96, 108.96, 90.00 degrees
Last column: nearest neighbours and their distance in Å.
Atoms (fractional coordinates):
La 0.2035 0.2035 0.4070  5 S 2.88-3.11, 1 Se 2.98
La 0.7965 0.7965 0.5930  5 S 2.88-3.11, 1 Se 2.98
Nd 0.5000 0.0000 0.0000  2 S 2.79
Nd 0.0000 0.5000 0.0000  2 S 2.79
Se 0.6013 0.6013 0.2027  1 La 2.98, 1 Se 3.09, 4 Nd 3.19
Se 0.3987 0.3987 0.7973  1 La 2.98, 1 Se 3.09, 4 Nd 3.19
S 0.0000 0.0000 0.0000  4 Nd 2.79, 2 La 3.11
S 0.2500 0.7500 0.5000  4 La 2.88
S 0.7500 0.2500 0.5000  4 La 2.88

Values from the calculation:
- Formation energy (no corrections): -1792 meV/atom

---

Record 5
Entry from Alexandria: crystalline LaNdSmS3 at its relaxed geometry (PBE).

Cell lengths 3.9847, 7.0398, 10.6537 Å; angles 102.48, 90.00, 90.00 degrees
Last column: nearest neighbours and their distance in Å.
Atoms (fractional coordinates):
La 0.2500 0.3485 0.3047  7 S 2.95-3.06
La 0.7500 0.6515 0.6953  7 S 2.95-3.06
Nd 0.2500 0.1254 0.6312  5 S 2.82-2.89
Nd 0.7500 0.8746 0.3688  5 S 2.82-2.89
Sm 0.2500 0.7674 0.0551  6 S 2.80-2.90
Sm 0.7500 0.2326 0.9449  6 S 2.80-2.90
S 0.7500 0.0544 0.1562  3 Sm 2.80-2.88, 1 Nd 2.82, 2 La 3.06
S 0.2500 0.9456 0.8438  3 Sm 2.80-2.88, 1 Nd 2.82, 2 La 3.06
S 0.2500 0.7181 0.5056  3 Nd 2.83-2.89, 3 La 2.95-2.99
S 0.7500 0.2819 0.4944  3 Nd 2.83-2.89, 3 La 2.95-2.99
S 0.7500 0.5461 0.1601  3 Sm 2.82-2.90, 1 Nd 2.84, 2 La 3.03
S 0.2500 0.4539 0.8399  3 Sm 2.82-2.90, 1 Nd 2.84, 2 La 3.03

Values from the calculation:
- Formation energy (no corrections): -1986 meV/atom

---

Record 6
Entry from Alexandria: crystalline La2NdSmS4 at its relaxed geometry (PBE).

Cell lengths 4.0756, 7.1095, 7.1133 Å; angles 109.29, 90.00, 90.00 degrees
Last column: nearest neighbours and their distance in Å.
Atoms (fractional coordinates):
La 0.5000 0.0000 0.5000  6 S 2.94
La 0.0000 0.5000 0.5000  6 S 2.92
Nd 0.0000 0.0000 0.0000  6 S 2.88
Sm 0.5000 0.5000 0.0000  6 S 2.85-2.86
S 0.5000 0.2503 0.2430  1 Sm 2.86, 2 Nd 2.88, 3 La 2.92-2.94
S 0.5000 0.7497 0.7570  1 Sm 2.86, 2 Nd 2.88, 3 La 2.92-2.94
S 0.0000 0.2556 0.7589  2 Sm 2.85, 1 Nd 2.88, 3 La 2.92-2.94
S 0.0000 0.7444 0.2411  2 Sm 2.85, 1 Nd 2.88, 3 La 2.92-2.94

Values from the calculation:
- Formation energy (no corrections): -2099 meV/atom

---

Record 7
Entry from Alexandria: crystalline La3Nd3SmS8 at its relaxed geometry (PBE).

Cell lengths 8.1677, 8.1680, 8.2333 Å; angles 119.73, 90.00, 120.00 degrees
Last column: nearest neighbours and their distance in Å.
Atoms (fractional coordinates):
La 0.0000 0.0000 0.0000  6 S 2.92
La 0.0000 0.5000 0.0000  6 S 2.92
La 0.5000 0.5000 0.0000  6 S 2.92
Nd 0.5000 0.0000 0.5000  6 S 2.88
Nd 0.5000 0.5000 0.5000  6 S 2.88
Nd 0.0000 0.5000 0.5000  6 S 2.88
Sm 0.0000 0.0000 0.5000  6 S 2.84
S 0.2515 0.5029 0.2544  3 Nd 2.88, 3 La 2.92
S 0.7485 0.4971 0.7456  3 Nd 2.88, 3 La 2.92
S 0.7551 0.5103 0.2583  1 Sm 2.84, 2 Nd 2.88, 2 La 2.92
S 0.2449 0.4897 0.7417  1 Sm 2.84, 2 Nd 2.88, 2 La 2.92
S 0.7552 0.0031 0.2583  1 Sm 2.84, 2 Nd 2.88, 2 La 2.92
S 0.2448 0.9969 0.7417  1 Sm 2.84, 2 Nd 2.88, 2 La 2.92
S 0.2480 0.0031 0.2583  1 Sm 2.84, 2 Nd 2.88, 2 La 2.92
S 0.7520 0.9969 0.7417  1 Sm 2.84, 2 Nd 2.88, 2 La 2.92

Values from the calculation:
- Formation energy (no corrections): -2102 meV/atom

---

Record 8
Entry from Alexandria: crystalline La3Nd4SmS8 at its relaxed geometry (PBE).

Cell lengths 8.1970, 8.1859, 8.1964 Å; angles 120.04, 120.00, 90.00 degrees
Last column: nearest neighbours and their distance in Å.
Atoms (fractional coordinates):
La 0.5000 0.5000 0.0000  6 S 2.91-2.92
La 0.5000 0.5000 0.5000  6 S 2.91-2.92
La 0.0000 0.5000 0.5000  6 S 2.91-2.92
Nd 0.5000 0.0000 0.0000  6 S 2.92
Nd 0.5000 0.0000 0.5000  6 S 2.88
Nd 0.0000 0.0000 0.0000  6 S 2.88
Nd 0.0000 0.0000 0.5000  6 S 2.88
Sm 0.0000 0.5000 0.0000  6 S 2.87
S 0.2479 0.7510 0.0031  1 Sm 2.87, 3 Nd 2.88-2.92, 2 La 2.91
S 0.2479 0.7510 0.4958  1 Sm 2.87, 3 Nd 2.88-2.92, 2 La 2.91
S 0.2483 0.2451 0.4967  3 Nd 2.88, 3 La 2.92
S 0.7551 0.7510 0.0031  1 Sm 2.87, 3 Nd 2.88-2.92, 2 La 2.91
S 0.2449 0.2490 0.9969  1 Sm 2.87, 3 Nd 2.88-2.92, 2 La 2.91
S 0.7517 0.7549 0.5033  3 Nd 2.88, 3 La 2.92
S 0.7521 0.2490 0.5042  1 Sm 2.87, 3 Nd 2.88-2.92, 2 La 2.91
S 0.7521 0.2490 0.9969  1 Sm 2.87, 3 Nd 2.88-2.92, 2 La 2.91

Values from the calculation:
- Formation energy (no corrections): -2078 meV/atom